DFT (GGA+U) results for a relaxed structure of ZnNi2OsO6.

Cell: 5.5291 5.5291 5.5291 Å, 55.71 55.71 55.71°
Each line ends with the local moment (μB).
Atoms (fractional coordinates):
1 Zn 0.4863 0.4863 0.4863  0.04
2 Ni 0.2048 0.2048 0.2048  1.79
3 Ni 0.6993 0.6993 0.6993  1.78
4 Os 0.0051 0.0051 0.0051  1.42
5 O 0.3937 0.0950 0.8043  0.10
6 O 0.0950 0.8043 0.3937  0.10
7 O 0.9149 0.2694 0.6277  0.16
8 O 0.6277 0.9149 0.2694  0.16
9 O 0.8043 0.3937 0.0950  0.10
10 O 0.2694 0.6277 0.9149  0.16

**Total magnetic moment**: 6.0 μB/f.u.
**Energy**: -5.764 eV/atom
**Mass density**: 7.2 Mg/m³
**DOS(E_F)**: 4.2 states/eV/f.u.
**Space-group type**: No. 146